# Y2SiPb, relaxed, DFT PBE
# E above lowest polymorph: 10.2 kJ/mol of atoms
# Raw formation energy: -0.471 eV/atom
data_Y2SiPb
_chemical_formula_sum 'Y4 Si2 Pb2'
_cell_length_a 4.299
_cell_length_b 4.395
_cell_length_c 10.723
_cell_angle_alpha 90.00
_cell_angle_beta 90.00
_cell_angle_gamma 90.00
_space_group_name_H-M_alt 'I m m 2'
_space_group_IT_number 44
_space_group_name_Hall 'I 2 -2'
loop_
_atom_site_label
_atom_site_fract_x
_atom_site_fract_y
_atom_site_fract_z
_atom_site_occupancy
Y1 0.000 0.000 0.000 1
Y2 0.000 0.500 0.248 1
Si1 0.000 0.000 0.497 1
Pb1 0.000 0.500 0.754 1

***

# YSiPb2, relaxed, DFT PBE
# Raw formation energy: -0.127 eV/atom
data_YSiPb2
_chemical_formula_sum 'Y1 Si1 Pb2'
_cell_length_a 4.565
_cell_length_b 4.565
_cell_length_c 4.942
_cell_angle_alpha 90.00
_cell_angle_beta 90.00
_cell_angle_gamma 90.00
_space_group_name_H-M_alt 'P 4/m m m'
_space_group_IT_number 123
_space_group_name_Hall '-P 4 2'
loop_
_atom_site_label
_atom_site_fract_x
_atom_site_fract_y
_atom_site_fract_z
_atom_site_occupancy
Y1 0.000 0.000 0.000 1
Si1 0.500 0.500 0.000 1
Pb1 0.000 0.500 0.500 1

***

# YSi2Pb, relaxed, DFT PBE
# Raw formation energy: 0.292 eV/atom
data_YSi2Pb
_chemical_formula_sum 'Y4 Si8 Pb4'
_cell_length_a 7.202
_cell_length_b 7.202
_cell_length_c 7.202
_cell_angle_alpha 90.00
_cell_angle_beta 90.00
_cell_angle_gamma 90.00
_space_group_name_H-M_alt 'F -4 3 m'
_space_group_IT_number 216
_space_group_name_Hall 'F -4 2 3'
loop_
_atom_site_label
_atom_site_fract_x
_atom_site_fract_y
_atom_site_fract_z
_atom_site_occupancy
Y1 0.000 0.000 0.000 1
Si1 0.000 0.000 0.500 1
Si2 0.250 0.250 0.250 1
Pb1 0.250 0.250 0.750 1

***

Question: Look up the raw formation energy of the third one.
Answer: 0.292 eV/atom

***

Question: Look up the raw formation energy of the second one.
Answer: -0.127 eV/atom